No. 1
This record from the Alexandria database describes an optimized crystal structure of KPAu2. The functional is PBE.

Values from the calculation:
N(E_F) ... 0.319 states/eV/atom
Formation energy ... 0.11 eV/atom

Cell lengths 2.862, 4.284, 7.468 Å; angles 90.00, 90.00, 90.00 degrees
Space group Pmmm (No. 47)
Unique sites:
K 0.000 0.000 0.000
P 0.500 0.000 0.500
Au 0.500 0.500 0.304



No. 2
This record from the Alexandria database describes an optimized crystal structure of K2PAu2. The functional is PBE.

Values from the calculation:
N(E_F) ... 0.669 states/eV/atom
Formation energy ... -0.03 eV/atom
Offset from the most stable computed form ... 0.140 eV per atom

Cell lengths 3.814, 3.814, 20.058 Å; angles 90.00, 90.00, 90.00 degrees
Space group I4/mmm (No. 139)
Unique sites:
K 0.000 0.000 0.100
P 0.000 0.000 0.500
Au 0.000 0.500 0.250



No. 3
This record from the Alexandria database describes an optimized crystal structure of KPAu. The functional is PBE.

Values from the calculation:
Formation energy ... -0.43 eV/atom

Cell lengths 9.959, 6.330, 6.302 Å; angles 90.00, 125.77, 90.00 degrees
Space group C2/m (No. 12)
Unique sites:
K 0.135 0.000 0.376
P 0.030 0.500 0.850
Au 0.250 0.250 0.000



No. 4
This record from the Alexandria database describes an optimized crystal structure of K2P2Pd2Au. The functional is PBE.

Values from the calculation:
N(E_F) ... 0.345 states/eV/atom
Formation energy ... -0.50 eV/atom

Cell lengths 12.247, 4.464, 8.239 Å; angles 90.00, 125.21, 90.00 degrees
Space group C2/m (No. 12)
Unique sites:
K 0.061 0.000 0.332
P 0.236 0.500 0.178
Pd 0.236 0.500 0.887
Au 0.000 0.500 0.000



Question: Which of these has the highest formation energy?
Answer: KPAu2